[1]
Density functional theory data (PBE) for a geometry-optimized K4BrO structure.

Its formation energy without anion corrections is -5.5 eV/f.u. The value obtained for the offset from the most stable computed form is 166 meV per atom. The uncorrected energy is -2.752 eV per atom.

The structure belongs to space group C2/m (No. 12); the cell edges are 7.0890, 7.0890 and 7.9501 Å and the angles 90.00°, 90.19° and 90.00°. Symmetry generates all atoms from K at (0.2494, 0.2500, 0.1958), Br at (0.0000, 0.0000, 0.5000) and O at (0.0000, 0.5000, 0.0000).

[2]
Density functional theory data (PBE) for a geometry-optimized K6Br2O structure.

Its formation energy without anion corrections is -9.3 eV/f.u. The uncorrected energy is -2.684 eV per atom.

The structure belongs to space group Fm-3m (No. 225); the cell edges are 11.1869, 11.1869 and 11.1869 Å and the angles 90.00°, 90.00° and 90.00°. Symmetry generates all atoms from K at (0.0000, 0.0000, 0.2344), Br at (0.2500, 0.2500, 0.2500) and O at (0.0000, 0.0000, 0.0000).

[3]
Density functional theory data (PBE) for a geometry-optimized KBr2O2 structure.

Its formation energy without anion corrections is -1.7 eV/f.u. The uncorrected energy is -3.213 eV per atom.

The structure belongs to space group P4/mbm (No. 127); the cell edges are 7.9771, 7.9771 and 3.8810 Å and the angles 90.00°, 90.00° and 90.00°. Symmetry generates all atoms from K at (0.0000, 0.0000, 0.0000), Br at (0.1724, 0.3276, 0.5000) and O at (0.2265, 0.2735, 0.0000).

[4]
Density functional theory data (PBE) for a geometry-optimized KBr2O6 structure.

Its formation energy without anion corrections is 0.0 eV/f.u. The value obtained for the offset from the most stable computed form is 138 meV per atom. The uncorrected energy is -3.801 eV per atom.

The structure belongs to space group R3 (No. 146, hexagonal axes); the cell edges are 6.4669, 6.4669 and 20.7080 Å and the angles 90.00°, 90.00° and 120.00°. Symmetry generates all atoms from K at (0.0000, 0.0000, 0.0000), Br at (0.0000, 0.0000, 0.2596), Br at (0.0000, 0.0000, 0.4072), O at (0.1861, 0.3820, 0.0978) and O at (0.1866, 0.8048, 0.9025).

[5]
Density functional theory data (PBE) for a geometry-optimized K8BrO4 structure.

Its formation energy without anion corrections is -14.4 eV/f.u. The value obtained for the offset from the most stable computed form is 0 meV per atom. The uncorrected energy is -3.434 eV per atom.

The structure belongs to space group C2/m (No. 12); the cell edges are 13.9870, 8.1009 and 10.4010 Å and the angles 90.00°, 131.18° and 90.00°. Symmetry generates all atoms from K at (0.0026, 0.0000, 0.1698), K at (0.0189, 0.5000, 0.8533), K at (0.2488, 0.2650, 0.8339), Br at (0.0000, 0.5000, 0.5000), O at (0.0000, 0.2462, 0.0000) and O at (0.2308, 0.0000, 0.9626).

[6]
Density functional theory data (PBE) for a geometry-optimized K8Br5O structure.

Its formation energy without anion corrections is -19.3 eV/f.u. The uncorrected energy is -2.959 eV per atom.

The structure belongs to space group F-43m (No. 216); the cell edges are 13.4767, 13.4767 and 13.4767 Å and the angles 90.00°, 90.00° and 90.00°. Symmetry generates all atoms from K at (0.1080, 0.1080, 0.3920), K at (0.1149, 0.1149, 0.8851), Br at (0.1262, 0.1262, 0.1262), Br at (0.2500, 0.2500, 0.7500) and O at (0.0000, 0.0000, 0.5000).

[7]
Density functional theory data (PBE) for a geometry-optimized KBr2O structure.

Its formation energy without anion corrections is -0.2 eV/f.u. The value obtained for the offset from the most stable computed form is 359 meV per atom. The uncorrected energy is -2.388 eV per atom.

The structure belongs to space group Fm-3m (No. 225); the cell edges are 7.5710, 7.5710 and 7.5710 Å and the angles 90.00°, 90.00° and 90.00°. Symmetry generates all atoms from K at (0.0000, 0.0000, 0.0000), Br at (0.2500, 0.2500, 0.2500) and O at (0.0000, 0.0000, 0.5000).

[8]
Density functional theory data (PBE) for a geometry-optimized KBr2O structure.

Its formation energy without anion corrections is -1.5 eV/f.u. The value obtained for the offset from the most stable computed form is 17 meV per atom. The uncorrected energy is -2.730 eV per atom.

The structure belongs to space group R-3m (No. 166, hexagonal axes); the cell edges are 5.4963, 5.4963 and 19.4924 Å and the angles 90.00°, 90.00° and 120.00°. Symmetry generates all atoms from K at (0.0000, 0.0000, 0.0000), Br at (0.0000, 0.0000, 0.3923) and O at (0.0000, 0.0000, 0.5000).

[9]
Density functional theory data (PBE) for a geometry-optimized K8BrO4 structure.

Its formation energy without anion corrections is -13.9 eV/f.u. The value obtained for the offset from the most stable computed form is 33 meV per atom. The uncorrected energy is -3.402 eV per atom.

The structure belongs to space group F-43m (No. 216); the cell edges are 11.8542, 11.8542 and 11.8542 Å and the angles 90.00°, 90.00° and 90.00°. Symmetry generates all atoms from K at (0.0992, 0.0992, 0.4008), K at (0.1490, 0.1490, 0.8510), Br at (0.2500, 0.2500, 0.2500) and O at (0.1272, 0.1272, 0.6272).

[10]
Density functional theory data (PBE) for a geometry-optimized KBrO4 structure.

Its formation energy without anion corrections is -2.2 eV/f.u. The uncorrected energy is -4.131 eV per atom.

The structure belongs to space group P2_1/m (No. 11); the cell edges are 5.4254, 8.2277 and 5.4590 Å and the angles 90.00°, 95.57° and 90.00°. Symmetry generates all atoms from K at (0.1663, 0.2500, 0.1721), Br at (0.3346, 0.7500, 0.3274), O at (0.2007, 0.5886, 0.1933), O at (0.3005, 0.7500, 0.6247) and O at (0.3658, 0.2500, 0.7047).

[11]
Density functional theory data (PBE) for a geometry-optimized KBr3O structure.

Its formation energy without anion corrections is -1.4 eV/f.u. The value obtained for the offset from the most stable computed form is 0 meV per atom. The uncorrected energy is -2.492 eV per atom.

The structure belongs to space group Pm-3m (No. 221); the cell edges are 4.9467, 4.9467 and 4.9467 Å and the angles 90.00°, 90.00° and 90.00°. Symmetry generates all atoms from K at (0.0000, 0.0000, 0.0000), Br at (0.0000, 0.5000, 0.5000) and O at (0.5000, 0.5000, 0.5000).

[12]
Density functional theory data (PBE) for a geometry-optimized K4BrO structure.

Its formation energy without anion corrections is -6.5 eV/f.u. The value obtained for the offset from the most stable computed form is 0 meV per atom. The uncorrected energy is -2.918 eV per atom.

The structure belongs to space group C2/c (No. 15); the cell edges are 9.2171, 19.3551 and 7.2414 Å and the angles 90.00°, 125.49° and 90.00°. Symmetry generates all atoms from K at (0.1945, 0.0361, 0.1999), K at (0.2108, 0.1554, 0.7805), Br at (0.0000, 0.4294, 0.2500) and O at (0.0000, 0.0594, 0.7500).

[13]
Density functional theory data (PBE) for a geometry-optimized KBr2O6 structure.

Its formation energy without anion corrections is -1.3 eV/f.u. The value obtained for the offset from the most stable computed form is 0 meV per atom. The uncorrected energy is -3.939 eV per atom.

The structure belongs to space group C2/c (No. 15); the cell edges are 13.6502, 6.4130 and 8.5850 Å and the angles 90.00°, 120.51° and 90.00°. Symmetry generates all atoms from K at (0.0000, 0.0537, 0.2500), Br at (0.1617, 0.4547, 0.0863), O at (0.0667, 0.2599, 0.0152), O at (0.1410, 0.4144, 0.4035) and O at (0.2080, 0.1539, 0.8177).

[14]
Density functional theory data (PBE) for a geometry-optimized K6BrO structure.

Its formation energy without anion corrections is -6.3 eV/f.u. The uncorrected energy is -2.438 eV per atom.

The structure belongs to space group C2/m (No. 12); the cell edges are 7.7157, 13.9783 and 7.5771 Å and the angles 90.00°, 105.74° and 90.00°. Symmetry generates all atoms from K at (0.1955, 0.1363, 0.2169), K at (0.2310, 0.0000, 0.7938), Br at (0.0000, 0.5000, 0.5000) and O at (0.0000, 0.0000, 0.0000).

[15]
Density functional theory data (PBE) for a geometry-optimized KBrO4 structure.

Its formation energy without anion corrections is -2.2 eV/f.u. The uncorrected energy is -4.132 eV per atom.

The structure belongs to space group Pnma (No. 62); the cell edges are 9.2002, 6.0631 and 7.6782 Å and the angles 90.00°, 90.00° and 90.00°. Symmetry generates all atoms from K at (0.1780, 0.2500, 0.1629), Br at (0.0690, 0.2500, 0.6841), O at (0.0806, 0.0285, 0.8098), O at (0.0877, 0.7500, 0.4186) and O at (0.2060, 0.2500, 0.5455).

[16]
Density functional theory data (PBE) for a geometry-optimized K5OsBr2O4 structure.

Its formation energy without anion corrections is -16.4 eV/f.u. The uncorrected energy is -4.692 eV per atom.

The structure belongs to space group Amm2 (No. 38); the cell edges are 8.6619, 10.0183 and 6.9483 Å and the angles 90.00°, 90.00° and 90.00°. Symmetry generates all atoms from K at (0.0000, 0.0000, 0.0000), K at (0.3065, 0.1923, 0.3837), Os at (0.5000, 0.0000, 0.9014), Br at (0.0000, 0.1931, 0.6401), O at (0.3292, 0.0000, 0.0528) and O at (0.5000, 0.1263, 0.6930).

[17]
Density functional theory data (PBE) for a geometry-optimized KP2BrO structure.

Its formation energy without anion corrections is 7.1 eV/f.u. The value obtained for the offset from the most stable computed form is 639 meV per atom. The uncorrected energy is -2.284 eV per atom.

The structure belongs to space group P4/mmm (No. 123); the cell edges are 6.4347, 6.4347 and 4.7604 Å and the angles 90.00°, 90.00° and 90.00°. Symmetry generates all atoms from K at (0.0000, 0.0000, 0.0000), P at (0.0000, 0.5000, 0.0000), Br at (0.5000, 0.5000, 0.5000) and O at (0.0000, 0.0000, 0.5000).

[18]
Density functional theory data (PBE) for a geometry-optimized KP2BrO structure.

Its formation energy without anion corrections is 3.9 eV/f.u. The value obtained for the offset from the most stable computed form is 0 meV per atom. The uncorrected energy is -2.923 eV per atom.

The structure belongs to space group P4/mmm (No. 123); the cell edges are 5.1115, 5.1115 and 4.4054 Å and the angles 90.00°, 90.00° and 90.00°. Symmetry generates all atoms from K at (0.0000, 0.0000, 0.0000), P at (0.0000, 0.5000, 0.5000), Br at (0.5000, 0.5000, 0.5000) and O at (0.5000, 0.5000, 0.0000).

[19]
Density functional theory data (PBE) for a geometry-optimized K3Pa2Br2O5 structure.

Its formation energy without anion corrections is -31.9 eV/f.u. The uncorrected energy is -6.858 eV per atom.

The structure belongs to space group I4/mmm (No. 139); the cell edges are 4.4230, 4.4230 and 26.7789 Å and the angles 90.00°, 90.00° and 90.00°. Symmetry generates all atoms from K at (0.0000, 0.0000, 0.0000), K at (0.0000, 0.0000, 0.1678), Pa at (0.0000, 0.0000, 0.4186), Br at (0.0000, 0.0000, 0.3038), O at (0.0000, 0.0000, 0.5000) and O at (0.0000, 0.5000, 0.0852).

[20]
Density functional theory data (PBE) for a geometry-optimized K2PbBrO2 structure.

Its formation energy without anion corrections is -7.6 eV/f.u. The uncorrected energy is -4.188 eV per atom.

The structure belongs to space group P4/mmm (No. 123); the cell edges are 4.5196, 4.5196 and 7.0773 Å and the angles 90.00°, 90.00° and 90.00°. Symmetry generates all atoms from K at (0.0000, 0.0000, 0.2431), Pb at (0.5000, 0.5000, 0.0000), Br at (0.5000, 0.5000, 0.5000) and O at (0.0000, 0.5000, 0.0000).

[21]
Density functional theory data (PBE) for a geometry-optimized K2PbBr4O structure.

Its formation energy without anion corrections is -7.7 eV/f.u. The uncorrected energy is -3.155 eV per atom.

The structure belongs to space group P2_12_12 (No. 18); the cell edges are 8.3229, 14.1487 and 4.5906 Å and the angles 90.00°, 90.00° and 90.00°. Symmetry generates all atoms from K at (0.0859, 0.1764, 0.0072), Pb at (0.0000, 0.5000, 0.5221), Br at (0.1223, 0.7000, 0.5041), Br at (0.2369, 0.4538, 0.0332) and O at (0.0000, 0.0000, 0.2455).

[22]
Density functional theory data (PBE) for a geometry-optimized KPbBrO structure.

Its formation energy without anion corrections is -4.9 eV/f.u. The uncorrected energy is -4.076 eV per atom.

The structure belongs to space group R3m (No. 160, hexagonal axes); the cell edges are 3.9219, 3.9219 and 22.7213 Å and the angles 90.00°, 90.00° and 120.00°. Symmetry generates all atoms from K at (0.0000, 0.0000, 0.0000), Pb at (0.0000, 0.0000, 0.4612), Br at (0.0000, 0.0000, 0.2327) and O at (0.0000, 0.0000, 0.7466).